Here is NiAgPt2 at its PBEsol-relaxed geometry from Alexandria via LeMat-Bulk. Energies are from SCAN.

Calculated values
SG: Pmmm (47)
Formation energy, eV per atom: 0.01

a b c (Å): 2.734 3.695 5.670
angles (deg): 90.00 90.00 90.00
Each line ends with the local moment (μB).
Fractional coordinates of all 4 atoms:
Ag (0.500, 0.500, 0.000)  0.02
Ni (0.500, 0.500, 0.500)  1.14
Pt (0.000, 0.000, 0.732)  0.28
Pt (0.000, 0.000, 0.268)  0.28